K4CdMo | Alexandria | PBE | optimized geometry; ΔH_f (0 K) = 5.9 eV/f.u.; electronic total energy = -1.702 eV/atom; total magnetic moment = 5.06 μB/cell
1.0
4.9417 -5.4071 1.3637
2.7343 -0.9015 6.8722
-1.9877 -5.9283 4.0524
K Cd Mo
4 1 1
Direct
0.8738 0.3754 0.3754 K
0.3754 0.3754 0.8738 K
0.3754 0.8738 0.3754 K
0.3754 0.3754 0.3754 K
0.0000 0.0000 0.0000 Cd
0.7500 0.7500 0.7500 Mo